# 1
{"formula": "CrCo2Ni", "functional": "PBEsol", "state": "relaxed", "spacegroup": "I-4m2, No. 119", "magnetic_moment_mub_per_cell": 0.9, "formation_energy_ev_per_fu": 0.11, "dos_at_fermi_per_ev_fu": 4.891, "lattice": [[-0.424, 3.404, -0.199], [-2.351, -0.147, 2.503], [3.909, -1.175, 1.243]], "species": ["Ni", "Co", "Co", "Cr"], "fractional_positions": [[0.250, 0.750, 0.500], [0.500, 0.500, 0.000], [0.750, 0.250, 0.500], [0.000, 0.000, 0.000]]}

---

# 2
{"formula": "CrCo2Ni", "functional": "PBEsol", "state": "relaxed", "spacegroup": "P4mm, No. 99", "magnetic_moment_mub_per_cell": 2.8, "formation_energy_ev_per_fu": 0.15, "dos_at_fermi_per_ev_fu": 4.459, "lattice": [[2.422, 0.000, 0.000], [0.000, 2.422, 0.000], [0.000, 0.000, 7.091]], "species": ["Ni", "Co", "Co", "Cr"], "fractional_positions": [[0.500, 0.500, 0.752], [0.000, 0.000, 0.005], [0.500, 0.500, 0.246], [0.000, 0.000, 0.498]]}

---

# 3
{"formula": "CrCo2Ni", "functional": "PBEsol", "state": "relaxed", "spacegroup": "I4/mmm, No. 139", "magnetic_moment_mub_per_cell": 0.8, "formation_energy_ev_per_fu": 0.06, "dos_at_fermi_per_ev_fu": 4.916, "lattice": [[3.480, 0.000, 0.000], [0.000, 3.480, 0.000], [-1.740, -1.740, 3.394]], "species": ["Ni", "Co", "Co", "Cr"], "fractional_positions": [[0.500, 0.500, 0.000], [0.750, 0.250, 0.500], [0.250, 0.750, 0.500], [0.000, 0.000, 0.000]]}

---

# 4
{"formula": "CrCoNi", "functional": "PBEsol", "state": "relaxed", "spacegroup": "I4mm, No. 107", "magnetic_moment_mub_per_cell": 0.3, "formation_energy_ev_per_fu": 0.10, "dos_at_fermi_per_ev_fu": 3.997, "lattice": [[-1.376, 1.530, -1.298], [-1.981, -1.286, 0.584], [0.988, 2.878, 4.624]], "species": ["Ni", "Co", "Cr"], "fractional_positions": [[0.666, 0.666, 0.333], [0.997, 0.997, 0.994], [0.336, 0.336, 0.673]]}

---

# 5
{"formula": "CrCoNi", "functional": "PBEsol", "state": "relaxed", "spacegroup": "Imm2, No. 44", "magnetic_moment_mub_per_cell": 0.0, "formation_energy_ev_per_fu": -0.02, "dos_at_fermi_per_ev_fu": 3.459, "lattice": [[-1.367, -1.997, 0.281], [2.263, -1.816, -1.896], [1.421, 1.056, 3.853]], "species": ["Ni", "Co", "Cr"], "fractional_positions": [[0.666, 0.666, 0.332], [0.998, 0.998, 0.996], [0.336, 0.336, 0.672]]}

---

# 6
{"formula": "CrCo2Ni", "functional": "PBEsol", "state": "relaxed", "spacegroup": "Pmm2, No. 25", "magnetic_moment_mub_per_cell": 1.4, "formation_energy_ev_per_fu": 0.17, "dos_at_fermi_per_ev_fu": 4.938, "lattice": [[-1.866, 1.485, -0.463], [-0.033, -1.079, -3.329], [-3.109, -3.540, 1.178]], "species": ["Ni", "Co", "Co", "Cr"], "fractional_positions": [[0.000, 0.500, 0.753], [0.500, 0.000, 0.003], [0.000, 0.500, 0.250], [0.500, 0.000, 0.494]]}